Below is PmTl2BiSe4 after structural relaxation, with properties calculated at the PBE level.

Output
Its symmetry is P2/m (10).

a b c (Å): 4.303 7.468 8.097
angles (deg): 107.92 90.00 90.00
Fractional positions:
Bi  0.000  0.000  0.000
Se  0.000  0.265  0.789
Se  0.500  0.240  0.213
Se  0.500  0.760  0.787
Pm  0.500  0.500  0.000
Tl  0.000  0.500  0.500
Tl  0.500  0.000  0.500
Se  0.000  0.735  0.211

Below is PmTmBiSe after structural relaxation, with properties calculated at the PBE level.

Output
Its symmetry is R3m (160).

a b c (Å): 4.203 4.204 7.945
angles (deg): 90.01 105.33 120.00
Last column: magnetic moment on the atom in μB.
Fractional positions:
Bi  0.126  0.961  0.103  0.00
Pm  0.973  0.385  0.373  0.24
Se  0.480  0.138  0.634  0.00
Tm  0.298  0.547  0.860  0.06

Below is PmYBiSe after structural relaxation, with properties calculated at the PBE level.

Output
Its symmetry is R3m (160).

a b c (Å): 4.228 4.229 8.003
angles (deg): 90.00 105.32 120.00
Last column: magnetic moment on the atom in μB.
Fractional positions:
Se  0.477  0.137  0.629  -0.01
Bi  0.129  0.963  0.107  0.00
Y  0.299  0.547  0.861  0.04
Pm  0.973  0.384  0.372  0.20

Below is Pm6Si2Bi after structural relaxation, with properties calculated at the PBE level.

Output
Its symmetry is Immm (71).

a b c (Å): 8.774 8.774 8.774
angles (deg): 104.46 111.12 112.95
Fractional positions:
Pm  0.703  0.022  0.319
Si  0.624  0.000  0.624
Pm  0.530  0.721  0.809
Pm  0.911  0.721  0.191
Si  0.376  0.000  0.376
Pm  0.470  0.279  0.191
Bi  0.000  0.500  0.500
Pm  0.212  0.758  0.970
Pm  0.703  0.384  0.681
Pm  0.089  0.279  0.809
Pm  0.212  0.242  0.454
Pm  0.788  0.242  0.030
Pm  0.297  0.616  0.319
Pm  0.788  0.758  0.546
Bi  0.000  0.000  0.000
Pm  0.297  0.978  0.681
Si  0.500  0.612  0.112
Si  0.500  0.388  0.888

Below is Pm8SiBi2 after structural relaxation, with properties calculated at the PBE level.

Output
Its symmetry is C2/m (12).

a b c (Å): 5.218 6.827 10.293
angles (deg): 103.30 104.68 90.00
Last column: magnetic moment on the atom in μB.
Fractional positions:
Si  0.500  0.000  0.000  0.00
Pm  0.650  0.026  0.300  0.08
Pm  0.588  0.473  0.176  0.01
Bi  0.178  0.770  0.357  -0.01
Pm  0.221  0.332  0.443  0.21
Pm  0.350  0.974  0.700  0.08
Pm  0.412  0.527  0.824  0.01
Pm  0.779  0.668  0.557  0.21
Bi  0.822  0.230  0.643  -0.01
Pm  0.985  0.221  0.969  0.02
Pm  0.015  0.779  0.031  0.02

Below is Pm2SiBi after structural relaxation, with properties calculated at the PBE level.

Output
Its symmetry is P4/mmm (123).

a b c (Å): 3.511 3.511 8.726
angles (deg): 90.00 90.00 90.00
Fractional positions:
Pm  0.000  0.000  0.785
Si  0.500  0.500  0.000
Bi  0.500  0.500  0.500
Pm  0.000  0.000  0.215

E (eV/atom)
-4.33, -5.34, -5.88, -5.37, -5.03, -5.27
Raw formation energy (eV/atom)
-0.91, -1.19, -1.24, -0.57, -0.38, -0.57